VASP calculation (PBE) on a relaxed structure of TiPdRu3.

Results
For the density of states at the Fermi level, the calculation gives 6.701 states/eV per cell. As for the formation energy from the elements: 1181 meV/atom. Its crystal system is cubic. Its space group is Pm-3m, No. 221. The calculation puts the volume at 89.4 Å³ per cell.

Unit cell a=4.4708 b=4.4708 c=4.4708 alpha=90.00 beta=90.00 gamma=90.00
Fractional coordinates of all 5 atoms:
1 Ti 0.0000 0.0000 0.0000
2 Pd 0.5000 0.5000 0.5000
3 Ru 0.0000 0.0000 0.5000
4 Ru 0.0000 0.5000 0.0000
5 Ru 0.5000 0.0000 0.0000